No. 1
A relaxed structure of CrHg2I, computed with PBE.

Cell: 13.973 3.951 9.332 Å, 90.00 102.98 90.00°
Space group Cm (No. 8)
One atom of each set of equivalent atoms:
Cr 0.000 0.000 0.000 [2 per cell]
Cr 0.229 0.000 0.193 [2 per cell]
Hg 0.081 0.500 0.209 [2 per cell]
Hg 0.209 0.000 0.659 [2 per cell]
Hg 0.279 0.500 0.440 [2 per cell]
Hg 0.497 0.500 0.426 [2 per cell]
I 0.304 0.500 0.032 [2 per cell]
I 0.494 0.000 0.794 [2 per cell]

Calculated values
Formation energy (no corrections) in kJ/mol of formula units: 63
Magnetization in μB/atom: 1.1516
Energy above the most stable polymorph in this dataset in eV per formula unit: 0.16
Crystal system: monoclinic

---

No. 2
A relaxed structure of Mg2PbSe, computed with PBE.

Cell: 4.037 6.036 8.123 Å, 90.00 90.00 90.00°
Space group Cmmm (No. 65)
One atom of each set of equivalent atoms:
Mg 0.000 0.000 0.211 [4 per cell]
Pb 0.000 0.500 0.500 [2 per cell]
Se 0.000 0.500 0.000 [2 per cell]

Calculated values
Formation energy (no corrections) in kJ/mol of formula units: -152
Magnetization in μB/atom: 0.0000
Energy above the most stable polymorph in this dataset in eV per formula unit: 0.84
Crystal system: orthorhombic

---

No. 3
A relaxed structure of ZnGa2W, computed with PBE.

Cell: 6.967 6.967 5.414 Å, 90.00 90.00 90.00°
Space group I-42d (No. 122)
One atom of each set of equivalent atoms:
Zn 0.000 0.000 0.000 [4 per cell]
Ga 0.233 0.750 0.125 [8 per cell]
W 0.000 0.000 0.500 [4 per cell]

Calculated values
ΔH_f (0 K) in eV/f.u.: 2.139
Magnetization in μB/atom: 0.0000
Crystal system: tetragonal

---

No. 4
A relaxed structure of Mg2TaFe2, computed with PBE.

Cell: 6.152 6.152 4.319 Å, 90.00 90.00 90.00°
Space group P4/mbm (No. 127)
One atom of each set of equivalent atoms:
Mg 0.174 0.326 0.000 [4 per cell]
Ta 0.000 0.000 0.500 [2 per cell]
Fe 0.124 0.624 0.500 [4 per cell]

Calculated values
ΔH_f (0 K) in eV/f.u.: 1.467
Magnetization in μB/atom: 0.3715
Crystal system: tetragonal

---

No. 5
A relaxed structure of NaC3S, computed with PBE.

Cell: 4.353 4.353 4.353 Å, 90.00 90.00 90.00°
Space group Pm-3m (No. 221)
One atom of each set of equivalent atoms:
Na 0.000 0.000 0.000 [1 per cell]
C 0.000 0.000 0.500 [3 per cell]
S 0.500 0.500 0.500 [1 per cell]

Calculated values
Formation energy (no corrections) in kJ/mol of formula units: 1960
Magnetization in μB/atom: 0.0016
Energy above the most stable polymorph in this dataset in eV per formula unit: 8.02
Crystal system: cubic

---

No. 6
A relaxed structure of Pr2Tm6Sc5, computed with PBE.

Cell: 11.366 19.386 3.458 Å, 90.00 90.00 90.00°
Space group Pbam (No. 55)
One atom of each set of equivalent atoms:
Pr 0.153 0.219 0.000 [4 per cell]
Tm 0.056 0.921 0.000 [4 per cell]
Tm 0.087 0.634 0.000 [4 per cell]
Tm 0.177 0.381 0.500 [4 per cell]
Sc 0.000 0.500 0.500 [2 per cell]
Sc 0.107 0.779 0.500 [4 per cell]
Sc 0.199 0.048 0.500 [4 per cell]

Calculated values
ΔH_f (0 K) in eV/f.u.: 1.600
Magnetization in μB/atom: 0.0001
Crystal system: orthorhombic

---

No. 7
A relaxed structure of LiSmO2, computed with PBE.

Cell: 6.496 6.174 6.661 Å, 90.00 120.57 90.00°
Space group P2_1/c (No. 14)
One atom of each set of equivalent atoms:
Li 0.191 0.164 0.282 [4 per cell]
Sm 0.275 0.634 0.241 [4 per cell]
O 0.054 0.605 0.818 [4 per cell]
O 0.476 0.189 0.851 [4 per cell]

Calculated values
Formation energy (no corrections) in kJ/mol of formula units: -1092
Magnetization in μB/atom: 0.0000
Crystal system: monoclinic

---

No. 8
A relaxed structure of K2MoSe, computed with PBE.

Cell: 12.431 12.431 4.871 Å, 90.00 90.00 90.00°
Space group I-42d (No. 122)
One atom of each set of equivalent atoms:
K 0.073 0.750 0.125 [8 per cell]
Mo 0.000 0.000 0.500 [4 per cell]
Se 0.000 0.000 0.000 [4 per cell]

Calculated values
Formation energy (no corrections) in kJ/mol of formula units: 125
Magnetization in μB/atom: 0.9222
Energy above the most stable polymorph in this dataset in eV per formula unit: 0.37
Crystal system: tetragonal